## KCa2F (GGA-PBE)

Data for a relaxed structure of KCa2F.

## Properties
Formation energy (no corrections)   -5.04 eV/f.u.
Raw total energy   -3.00 eV/atom
Magnetization   0.000 μB per atom
Offset from the most stable computed form   0.0 meV per atom
Symmetry   I-42d

a = 7.689 Å, b = 7.689 Å, c = 7.679 Å
α = 59.96°, β = 59.96°, γ = 90.00°
Fractional coordinates of all 8 atoms:
1 Ca 0.875 0.624 0.750
2 K 0.750 0.250 0.500
3 K 0.000 0.000 0.000
4 F 0.250 0.750 0.500
5 Ca 0.375 0.626 0.750
6 Ca 0.376 0.625 0.250
7 Ca 0.374 0.125 0.250
8 F 0.500 0.500 0.000

=====

## BaLa2Au3 (GGA-PBE)

Data for a relaxed structure of BaLa2Au3.

## Properties
Raw total energy   -4.36 eV/atom
Magnetization   0.000 μB per atom
Symmetry   P4/mmm
DFT formation energy   -754 meV/atom

a = 3.863 Å, b = 3.863 Å, c = 11.626 Å
α = 90.00°, β = 90.00°, γ = 90.00°
Fractional coordinates of all 6 atoms:
1 La 0.500 0.500 0.838
2 Au 0.000 0.000 0.301
3 Au 0.000 0.000 0.699
4 La 0.500 0.500 0.162
5 Ba 0.500 0.500 0.500
6 Au 0.000 0.000 0.000

=====

Calculated values (states/eV/f.u.) of Fermi-level density of states for the records, taken in order: 2.68 4.46.